A) HfZrPd (PBE, optimized geometry); M_tot = 0.0 μB per formula unit
1.0
4.541 0.000 0.000
0.000 4.541 0.000
0.000 0.000 6.592
Hf Zr Pd
2 2 2
Direct
0.272 0.599 0.236
0.773 0.099 0.736
0.273 0.599 0.736
0.772 0.099 0.236
0.772 0.599 0.986
0.772 0.599 0.486

***

B) HfZrPd (PBE, optimized geometry); M_tot = 0.0 μB per formula unit
1.0
-0.442 0.659 3.115
-0.119 -4.562 0.948
4.057 2.294 0.090
Hf Zr Pd
1 1 1
Direct
0.066 0.000 0.000
0.622 0.333 0.667
0.312 0.667 0.333

***

C) HfZrPd (PBE, optimized geometry); M_tot = 0.0 μB per formula unit
1.0
-1.722 -2.257 1.471
1.207 -1.536 2.531
-2.846 3.488 5.493
Zr Hf Pd
1 1 1
Direct
0.332 0.332 0.003
0.546 0.546 0.361
0.107 0.107 0.679

***

D) HfZrPd (PBE, optimized geometry); M_tot = 0.0 μB per formula unit
1.0
-1.069 -2.735 1.538
2.253 -1.800 -1.634
2.989 3.118 4.048
Hf Zr Pd
1 1 1
Direct
0.321 0.321 0.643
0.006 0.006 0.013
0.672 0.672 0.344

***

Top of the stability list: D), leading by 21.3 kJ/mol of atoms.

***

A) Hf3ZrPd (PBE, optimized geometry); M_tot = 0.0 μB per formula unit
1.0
5.039 0.000 0.000
0.000 5.039 0.000
0.000 0.000 5.039
Hf Zr Pd
3 1 1
Direct
0.000 0.500 0.000
0.000 0.000 0.500
0.500 0.000 0.000
0.000 0.000 0.000
0.500 0.500 0.500

***

B) Hf3ZrPd (PBE, optimized geometry); M_tot = 0.0 μB per formula unit
1.0
-4.204 -1.611 2.185
2.214 0.298 4.478
-1.571 4.729 0.462
Hf Zr Pd
3 1 1
Direct
0.000 0.500 0.000
0.000 0.000 0.500
0.500 0.000 0.000
0.500 0.500 0.500
0.000 0.000 0.000

***

C) Hf3ZrPd (PBE, optimized geometry); M_tot = 0.0 μB per formula unit
1.0
3.170 0.000 0.000
-1.585 7.241 -1.916
0.000 -0.120 9.286
Hf Zr Pd
6 2 2
Direct
0.909 0.817 0.361
0.335 0.670 0.594
0.091 0.183 0.639
0.650 0.300 0.983
0.350 0.700 0.017
0.665 0.330 0.406
0.969 0.939 0.840
0.031 0.061 0.160
0.750 0.499 0.768
0.250 0.501 0.232

***

D) Hf3ZrPd (PBE, optimized geometry); M_tot = 0.0 μB per formula unit
1.0
5.370 0.765 0.403
0.927 7.427 0.930
0.039 -2.927 5.042
Hf Zr Pd
6 2 2
Direct
0.909 0.587 0.793
0.351 0.713 0.601
0.091 0.413 0.207
0.649 0.287 0.399
0.351 0.713 0.111
0.649 0.287 0.889
0.803 0.862 0.431
0.197 0.138 0.569
0.000 0.000 0.000
0.500 0.000 0.000

***

Top of the stability list: D), leading by 8.3 kJ/mol of atoms.